Record 1
Computed, not measured: a relaxed Th3Pa5N12 crystal at the GGA-PBE level of DFT.

Formation energy from raw total energies ... -29.57 eV/f.u.

a = 14.0353 Å, b = 14.0353 Å, c = 14.0353 Å
α = 90.00°, β = 90.00°, γ = 90.00°
Closest atoms and distances in Å follow each position.
Space group Ia-3d (No. 230)
Inequivalent atoms, fractional coordinates:
1 Th 0.0000 0.2500 0.1250  4 N 2.49
2 Pa 0.0000 0.0000 0.0000  6 N 2.29
3 Pa 0.0000 0.2500 0.3750  4 N 2.15
4 N 0.0158 0.0503 0.6547  2 Pa 2.15-2.29

=====

Record 2
Computed, not measured: a relaxed Pm4HRh2 crystal at the GGA-PBE level of DFT.

Energy relative to the lowest polymorph listed for this composition ... 0.000 eV/atom

a = 12.3991 Å, b = 3.8503 Å, c = 8.2338 Å
α = 90.00°, β = 124.58°, γ = 90.00°
Closest atoms and distances in Å follow each position.
Space group C2/m (No. 12)
Inequivalent atoms, fractional coordinates:
1 Pm 0.0843 0.0000 0.3808  1 H 2.68, 2 Rh 2.96
2 Pm 0.1666 0.5000 0.0750  2 H 2.63, 2 Rh 2.86
3 H 0.0000 0.0000 0.0000  6 Pm 2.63-2.68
4 Rh 0.1337 0.5000 0.6890  7 Pm 2.86-3.09, 1 Rh 2.99

=====

Record 3
Computed, not measured: a relaxed KPd2Cl7 crystal at the GGA-PBE level of DFT.

Formation energy from raw total energies ... -6.10 eV/f.u.

a = 7.7561 Å, b = 16.7091 Å, c = 4.4773 Å
α = 90.00°, β = 90.00°, γ = 90.00°
Closest atoms and distances in Å follow each position.
Space group Cmmm (No. 65)
Inequivalent atoms, fractional coordinates:
1 K 0.0000 0.0000 0.0000  8 Cl 3.56
2 Pd 0.0000 0.3585 0.5000  5 Cl 2.34-2.36
3 Cl 0.0000 0.3171 0.0000  2 Pd 2.34
4 Cl 0.0000 0.5000 0.5000  2 Pd 2.36
5 Cl 0.1987 0.1377 0.5000  1 Pd 2.34

=====

Record 4
Computed, not measured: a relaxed ScGeTe3 crystal at the GGA-PBE level of DFT.

Formation energy from raw total energies ... -0.01 eV/f.u.
Energy relative to the lowest polymorph listed for this composition ... 0.591 eV/atom

a = 5.5206 Å, b = 5.5206 Å, c = 5.5206 Å
α = 90.00°, β = 90.00°, γ = 90.00°
Closest atoms and distances in Å follow each position.
Space group Pm-3m (No. 221)
Inequivalent atoms, fractional coordinates:
1 Sc 0.0000 0.0000 0.0000  6 Te 2.76
2 Ge 0.5000 0.5000 0.5000  12 Te 3.90
3 Te 0.0000 0.0000 0.5000  2 Sc 2.76

=====

no.,mass density (Mg/m³)
1,9.70
2,8.07
3,2.86
4,4.94